Entry 1:
# PBE Mg7Al, relaxed
# - E (Ry per atom) = -0.13655
# - energy relative to the elements (eV/atom) = 0.0053
data_Mg7Al
_chemical_formula_sum 'Mg14 Al2'
_symmetry_space_group_name_H-M 'I 4/m m m'
_symmetry_Int_Tables_number 139
_symmetry_space_group_name_Hall '-I 4 2'
_cell_length_a 4.413
_cell_length_b 4.413
_cell_length_c 18.117
_cell_angle_alpha 90.00
_cell_angle_beta 90.00
_cell_angle_gamma 90.00
loop_
_atom_site_label
_atom_site_fract_x
_atom_site_fract_y
_atom_site_fract_z
_atom_site_occupancy
Mg1 0.000 0.000 0.000 1
Mg2 0.000 0.000 0.249 1
Mg3 0.000 0.500 0.121 1
Al1 0.000 0.000 0.500 1

Entry 2:
# PBE MgAl, relaxed
# - E (Ry per atom) = -0.18768
# - energy relative to the elements (eV/atom) = 0.1151
data_MgAl
_chemical_formula_sum 'Mg16 Al16'
_symmetry_space_group_name_H-M 'F d d d'
_symmetry_Int_Tables_number 70
_cell_length_a 4.836
_cell_length_b 8.999
_cell_length_c 15.319
_cell_angle_alpha 90.00
_cell_angle_beta 90.00
_cell_angle_gamma 90.00
loop_
_symmetry_equiv_pos_as_xyz
'x,y,z'
'-x,-y,-z'
'-x+1/4,-y+1/4,z'
'x+1/4,y+1/4,-z'
'x,-y+1/4,-z+1/4'
'-x,y+1/4,z+1/4'
'-x+1/4,y,-z+1/4'
'x+1/4,-y,z+1/4'
'x,y+1/2,z+1/2'
'-x,-y+1/2,-z+1/2'
'-x+1/4,-y+3/4,z+1/2'
'x+1/4,y+3/4,-z+1/2'
'x,-y+3/4,-z+3/4'
'-x,y+3/4,z+3/4'
'-x+1/4,y+1/2,-z+3/4'
'x+1/4,-y+1/2,z+3/4'
'x+1/2,y,z+1/2'
'-x+1/2,-y,-z+1/2'
'-x+3/4,-y+1/4,z+1/2'
'x+3/4,y+1/4,-z+1/2'
'x+1/2,-y+1/4,-z+3/4'
'-x+1/2,y+1/4,z+3/4'
'-x+3/4,y,-z+3/4'
'x+3/4,-y,z+3/4'
'x+1/2,y+1/2,z'
'-x+1/2,-y+1/2,-z'
'-x+3/4,-y+3/4,z'
'x+3/4,y+3/4,-z'
'x+1/2,-y+3/4,-z+1/4'
'-x+1/2,y+3/4,z+1/4'
'-x+3/4,y+1/2,-z+1/4'
'x+3/4,-y+1/2,z+1/4'
loop_
_atom_site_label
_atom_site_fract_x
_atom_site_fract_y
_atom_site_fract_z
_atom_site_occupancy
Mg1 0.125 0.285 0.125 1
Al1 0.125 0.125 0.540 1

Entry 3:
# PBE MgAl3, relaxed
# - E (Ry per atom) = -0.22871
# - energy relative to the elements (eV/atom) = 0.0938
data_MgAl3
_chemical_formula_sum 'Mg4 Al12'
_symmetry_space_group_name_H-M 'F m -3 m'
_symmetry_Int_Tables_number 225
_symmetry_space_group_name_Hall '-F 4 2 3'
_cell_length_a 6.629
_cell_length_b 6.629
_cell_length_c 6.629
_cell_angle_alpha 90.00
_cell_angle_beta 90.00
_cell_angle_gamma 90.00
loop_
_atom_site_label
_atom_site_fract_x
_atom_site_fract_y
_atom_site_fract_z
_atom_site_occupancy
Mg1 0.000 0.000 0.000 1
Al1 0.000 0.000 0.500 1
Al2 0.250 0.250 0.250 1

Entry 4:
# PBE MgAl2, relaxed
# - E (Ry per atom) = -0.22105
# - energy relative to the elements (eV/atom) = 0.0190
data_MgAl2
_chemical_formula_sum 'Mg1 Al2'
_symmetry_space_group_name_H-M 'P -3 m 1'
_symmetry_Int_Tables_number 164
_symmetry_space_group_name_Hall '-P 3 2"'
_cell_length_a 2.9505
_cell_length_b 2.9505
_cell_length_c 7.3453
_cell_angle_alpha 90.00
_cell_angle_beta 90.00
_cell_angle_gamma 120.00
loop_
_atom_site_label
_atom_site_fract_x
_atom_site_fract_y
_atom_site_fract_z
_atom_site_occupancy
Mg1 0.0000 0.0000 0.0000 1
Al1 0.3333 0.6667 0.6577 1

Entry 5:
# PBE MgAl, relaxed
# - E (Ry per atom) = -0.17118
# - energy relative to the elements (eV/atom) = 0.3395
data_MgAl
_chemical_formula_sum 'Mg4 Al4'
_symmetry_space_group_name_H-M 'P 42/m n m'
_symmetry_Int_Tables_number 136
_symmetry_space_group_name_Hall '-P 4n 2n'
_cell_length_a 5.613
_cell_length_b 5.613
_cell_length_c 5.818
_cell_angle_alpha 90.00
_cell_angle_beta 90.00
_cell_angle_gamma 90.00
loop_
_atom_site_label
_atom_site_fract_x
_atom_site_fract_y
_atom_site_fract_z
_atom_site_occupancy
Mg1 0.186 0.186 0.000 1
Al1 0.176 0.176 0.500 1

Entry 6:
# PBE MgAl5, relaxed
# - E (Ry per atom) = -0.24368
# - energy relative to the elements (eV/atom) = 0.0691
data_MgAl5
_chemical_formula_sum 'Mg1 Al5'
_symmetry_space_group_name_H-M 'P 4/m m m'
_symmetry_Int_Tables_number 123
_symmetry_space_group_name_Hall '-P 4 2'
_cell_length_a 3.427
_cell_length_b 3.427
_cell_length_c 9.153
_cell_angle_alpha 90.00
_cell_angle_beta 90.00
_cell_angle_gamma 90.00
loop_
_atom_site_label
_atom_site_fract_x
_atom_site_fract_y
_atom_site_fract_z
_atom_site_occupancy
Mg1 0.000 0.000 0.000 1
Al1 0.000 0.000 0.346 1
Al2 0.500 0.500 0.187 1
Al3 0.500 0.500 0.500 1

Entry 7:
# PBE MgAl, relaxed
# - E (Ry per atom) = -0.17371
# - energy relative to the elements (eV/atom) = 0.3051
data_MgAl
_chemical_formula_sum 'Mg8 Al8'
_symmetry_space_group_name_H-M 'I 4/m'
_symmetry_Int_Tables_number 87
_symmetry_space_group_name_Hall '-I 4'
_cell_length_a 11.539
_cell_length_b 11.539
_cell_length_c 3.085
_cell_angle_alpha 90.00
_cell_angle_beta 90.00
_cell_angle_gamma 90.00
loop_
_atom_site_label
_atom_site_fract_x
_atom_site_fract_y
_atom_site_fract_z
_atom_site_occupancy
Mg1 0.059 0.658 0.000 1
Al1 0.155 0.223 0.000 1

Entry 8:
# PBE MgAl, relaxed
# - E (Ry per atom) = -0.15218
# - energy relative to the elements (eV/atom) = 0.5981
data_MgAl
_chemical_formula_sum 'Mg2 Al2'
_symmetry_space_group_name_H-M 'P 63/m m c'
_symmetry_Int_Tables_number 194
_symmetry_space_group_name_Hall '-P 6c 2c'
_cell_length_a 4.9583
_cell_length_b 4.9583
_cell_length_c 5.4867
_cell_angle_alpha 90.00
_cell_angle_beta 90.00
_cell_angle_gamma 120.00
loop_
_atom_site_label
_atom_site_fract_x
_atom_site_fract_y
_atom_site_fract_z
_atom_site_occupancy
Mg1 0.3333 0.6667 0.2500 1
Al1 0.3333 0.6667 0.7500 1